No. 1
Tb5Tm12Zr3: optimized geometry, PBE.

Computed properties:
Total energy ... -4.03 eV/atom

a = 18.216 Å, b = 18.216 Å, c = 18.216 Å
α = 90.00°, β = 90.00°, γ = 90.00°
Space group Ia-3d (No. 230)
Inequivalent atoms, fractional coordinates:
Tb: 0.000 0.000 0.000
Tb: 0.000 0.250 0.375
Tm: 0.008 0.088 0.647
Zr: 0.000 0.250 0.125


No. 2
Tb2Tm12Zr: optimized geometry, PBE.

Computed properties:
Total energy ... -4.61 eV/atom

a = 3.495 Å, b = 5.444 Å, c = 23.939 Å
α = 90.00°, β = 92.80°, γ = 90.00°
Space group P2/m (No. 10)
Inequivalent atoms, fractional coordinates:
Tb: 0.171 0.000 0.276
Tm: 0.144 0.000 0.123
Tm: 0.233 0.500 0.445
Tm: 0.246 0.500 0.941
Tm: 0.273 0.000 0.575
Tm: 0.309 0.500 0.670
Tm: 0.365 0.500 0.804
Zr: 0.500 0.000 0.000


No. 3
Tb12Tm7Zr: optimized geometry, PBE.

Computed properties:
Total energy ... -4.52 eV/atom

a = 19.2714 Å, b = 19.2714 Å, c = 6.0372 Å
α = 90.00°, β = 90.00°, γ = 120.00°
Space group R-3 (No. 148, hexagonal axes)
Inequivalent atoms, fractional coordinates:
Tb: 0.0004 0.4145 0.0001
Tb: 0.0982 0.5498 0.4732
Tm: 0.0000 0.0000 0.0000
Tm: 0.0799 0.9189 0.3042
Zr: 0.0000 0.0000 0.5000


No. 4
TbU3: optimized geometry, PBE.

Computed properties:
Total energy ... -9.08 eV/atom

a = 4.387 Å, b = 4.387 Å, c = 9.556 Å
α = 90.00°, β = 90.00°, γ = 90.00°
Space group I4/mmm (No. 139)
Inequivalent atoms, fractional coordinates:
Tb: 0.000 0.000 0.000
U: 0.000 0.000 0.500
U: 0.000 0.500 0.250


No. 5
TbU6: optimized geometry, PBE.

Computed properties:
Total energy ... -9.55 eV/atom

a = 7.118 Å, b = 7.118 Å, c = 7.118 Å
α = 90.00°, β = 90.00°, γ = 90.00°
Space group Im-3m (No. 229)
Inequivalent atoms, fractional coordinates:
Tb: 0.000 0.000 0.000
U: 0.000 0.250 0.500


No. 6
TbUV: optimized geometry, PBE.

Computed properties:
Total energy ... -7.99 eV/atom

a = 12.919 Å, b = 3.177 Å, c = 8.108 Å
α = 90.00°, β = 126.04°, γ = 90.00°
Space group C2/m (No. 12)
Inequivalent atoms, fractional coordinates:
Tb: 0.101 0.000 0.271
U: 0.119 0.500 0.677
V: 0.166 0.500 0.994


No. 7
TbYU: optimized geometry, PBE.

Computed properties:
Total energy ... -7.26 eV/atom

a = 16.865 Å, b = 3.832 Å, c = 5.528 Å
α = 90.00°, β = 90.00°, γ = 90.00°
Space group Pnma (No. 62)
Inequivalent atoms, fractional coordinates:
Tb: 0.090 0.250 0.000
Y: 0.227 0.250 0.499
U: 0.048 0.750 0.500


No. 8
TbUZn17: optimized geometry, PBE.

Computed properties:
Total energy ... -2.12 eV/atom

a = 8.9766 Å, b = 8.9766 Å, c = 13.1643 Å
α = 90.00°, β = 90.00°, γ = 120.00°
Space group R3m (No. 160, hexagonal axes)
Inequivalent atoms, fractional coordinates:
Tb: 0.0000 0.0000 0.0000
U: 0.0000 0.0000 0.6722
Zn: 0.0000 0.0000 0.2366
Zn: 0.0000 0.0000 0.4372
Zn: 0.0000 0.2967 0.3365
Zn: 0.0116 0.5058 0.4880
Zn: 0.1671 0.3343 0.1702
Zn: 0.1706 0.3412 0.5176


No. 9
Tb2UZn: optimized geometry, PBE.

Computed properties:
Total energy ... -5.07 eV/atom

a = 3.2062 Å, b = 3.2062 Å, c = 34.2378 Å
α = 90.00°, β = 90.00°, γ = 120.00°
Space group R-3m (No. 166, hexagonal axes)
Inequivalent atoms, fractional coordinates:
Tb: 0.0000 0.0000 0.0957
U: 0.0000 0.0000 0.0000
Zn: 0.0000 0.0000 0.5000


No. 10
TbUZn4: optimized geometry, PBE.

Computed properties:
Total energy ... -3.57 eV/atom

a = 7.703 Å, b = 7.703 Å, c = 7.703 Å
α = 90.00°, β = 90.00°, γ = 90.00°
Space group F-43m (No. 216)
Inequivalent atoms, fractional coordinates:
Tb: 0.000 0.000 0.000
U: 0.250 0.250 0.750
Zn: 0.125 0.125 0.375


No. 11
TbV5: optimized geometry, PBE.

Computed properties:
Total energy ... -8.02 eV/atom

a = 4.568 Å, b = 13.440 Å, c = 3.121 Å
α = 90.00°, β = 90.00°, γ = 90.00°
Space group Cmmm (No. 65)
Inequivalent atoms, fractional coordinates:
Tb: 0.000 0.000 0.000
V: 0.000 0.191 0.500
V: 0.000 0.329 0.000
V: 0.000 0.500 0.500


No. 12
Tb4V: optimized geometry, PBE.

Computed properties:
Total energy ... -5.08 eV/atom

a = 5.365 Å, b = 5.365 Å, c = 5.365 Å
α = 90.00°, β = 90.00°, γ = 90.00°
Space group Pm-3m (No. 221)
Inequivalent atoms, fractional coordinates:
Tb: 0.000 0.000 0.000
Tb: 0.000 0.500 0.500
V: 0.500 0.500 0.500


Which value of total energy does entry 3 give?
-4.52 eV/atom